Record 1
First-principles (PBE) data for crystalline NbZnFeAs at its relaxed geometry, as listed in OQMD via LeMat-Bulk.

It has space group F-43m (No. 216), with a = 6.178 Å, b = 6.178 Å, c = 6.178 Å, α = 90.00°, β = 90.00° and γ = 90.00°. The distinct sites, in fractional coordinates, are Nb at (0.000, 0.000, 0.000), Zn at (0.250, 0.250, 0.750), Fe at (0.000, 0.000, 0.500) and As at (0.250, 0.250, 0.250).

Its electronic total energy is -95.4 eV per cell. The value obtained for the energy above the most stable polymorph in this dataset is 0 meV/atom. The calculated volume comes out at 14.73 Å³/atom.


Record 2
First-principles (PBE) data for crystalline Al2ZnSeS3 at its relaxed geometry, as listed in OQMD via LeMat-Bulk.

It has space group P1 (No. 1), with a = 5.394 Å, b = 5.417 Å, c = 6.454 Å, α = 113.79°, β = 113.91° and γ = 90.86°. The distinct sites, in fractional coordinates, are Al at (0.000, 0.000, 0.000), Al at (0.257, 0.766, 0.510), Zn at (0.491, 0.509, 0.000), Se at (0.876, 0.374, 0.275), S at (0.114, 0.120, 0.744), S at (0.368, 0.891, 0.257) and S at (0.626, 0.638, 0.744).

Its electronic total energy is -31.4 eV per cell. The calculated volume comes out at 22.02 Å³/atom.


Q: What is the calculated volume in the first record?
A: 14.73 Å³/atom


Q: electronic total energy of number 1 (NbZnFeAs)?
A: -95.4 eV per cell


Q: Look up the electronic total energy of the second one.
A: -31.4 eV per cell